Entry 1:
Entry from the Alexandria database: a geometry-optimized TePtNF2 structure (PBE-GGA).

Computed properties:
For the total energy, the calculation gives -3.862 eV per atom. As for the formation energy without anion corrections: 1.94 eV per formula unit. The energy above the most stable polymorph in this dataset is 245 meV/atom. Its crystal system is tetragonal. As for the density of states at the Fermi level: 2.6 states/eV/f.u. Its total moment is 0.0 μB per formula unit.

POSCAR file:
```
TePtNF2
1.0
4.296 0.000 0.000
0.000 4.296 0.000
0.000 0.000 4.264
Te Pt N F
1 1 1 2
Cartesian
0.000 0.000 0.000 Te
2.148 2.148 2.132 Pt
0.000 0.000 2.132 N
0.000 2.148 0.000 F
2.148 0.000 0.000 F
```

=====

Entry 2:
Entry from the Alexandria database: a geometry-optimized Te2PtNF structure (PBE-GGA).

Computed properties:
For the total energy, the calculation gives -3.376 eV per atom. As for the formation energy without anion corrections: 5.64 eV per formula unit. The energy above the most stable polymorph in this dataset is 779 meV/atom. Its crystal system is tetragonal. As for the density of states at the Fermi level: 3.8 states/eV/f.u. Its total moment is 0.0 μB per formula unit.

POSCAR file:
```
Te2PtNF
1.0
4.856 0.000 0.000
0.000 4.856 0.000
0.000 0.000 3.766
Te Pt N F
2 1 1 1
Cartesian
0.000 2.428 0.000 Te
2.428 0.000 0.000 Te
0.000 0.000 1.883 Pt
2.428 2.428 1.883 N
2.428 2.428 0.000 F
```